# Zr3TaTl | Alexandria | PBE | optimized geometry
# * uncorrected energy: -6.37 eV per atom
# * ΔE to the lowest computed polymorph: 0.749 eV/atom
# * space group: Pm-3m (221)
data_Zr3TaTl
_cell_length_a 5.2394
_cell_length_b 5.2394
_cell_length_c 5.2394
_cell_angle_alpha 90.00
_cell_angle_beta 90.00
_cell_angle_gamma 90.00
_space_group_name_H-M_alt 'P 1'
_space_group_IT_number 1
_space_group_name_Hall 'P 1'
loop_
_atom_site_label
_atom_site_fract_x
_atom_site_fract_y
_atom_site_fract_z
Zr1 0.0000 0.0000 0.5000
Zr2 0.0000 0.5000 0.0000
Zr3 0.5000 0.0000 0.0000
Ta1 0.5000 0.5000 0.5000
Tl1 0.0000 0.0000 0.0000